Record 1
DFT (PBE-GGA) results for an optimized crystal structure of Rb2HfTlCl8.

Summary:
ΔE_f (raw) in eV per atom: -1.59
Total moment in μB per atom: 0.08

Lattice parameters (Å, degrees): 6.3706 7.1567 9.1701 93.71 105.18 90.75
Fractional coordinates of all 12 atoms:
Rb  0.1126  0.0120  0.2924
Rb  0.8874  0.9880  0.7076
Hf  0.5000  0.5000  0.5000
Tl  0.5000  0.5000  0.0000
Cl  0.2093  0.4859  0.2583
Cl  0.2730  0.3127  0.6192
Cl  0.3154  0.9184  0.9986
Cl  0.3572  0.7889  0.5923
Cl  0.6428  0.2111  0.4077
Cl  0.6846  0.0816  0.0014
Cl  0.7270  0.6873  0.3808
Cl  0.7907  0.5141  0.7417

---

Record 2
DFT (PBE-GGA) results for an optimized crystal structure of VInH3.

Summary:
Calculated total energy in eV for the cell shown: -17.32
Total moment in μB per atom: 0.77

Lattice parameters (Å, degrees): 3.9349 3.9349 3.9349 90.00 90.00 90.00
Fractional coordinates of all 5 atoms:
V  0.0000  0.0000  0.0000
In  0.5000  0.5000  0.5000
H  0.0000  0.5000  0.5000
H  0.5000  0.0000  0.5000
H  0.5000  0.5000  0.0000

---

Record 3
DFT (PBE-GGA) results for an optimized crystal structure of In2NiAu.

Summary:
Formation enthalpy at 0 K in meV/atom: 151.4
Total moment in μB per atom: 0.00

Lattice parameters (Å, degrees): 4.7375 4.7375 4.7375 60.00 60.00 60.00
Fractional coordinates of all 4 atoms:
In  0.0000  0.0000  0.0000
In  0.2500  0.2500  0.2500
Ni  0.7500  0.7500  0.7500
Au  0.5000  0.5000  0.5000

---

Record 4
DFT (PBE-GGA) results for an optimized crystal structure of SiPIr2.

Summary:
ΔE_f (raw) in eV per atom: -0.37
Total moment in μB per atom: 0.00

Lattice parameters (Å, degrees): 6.5881 6.5881 3.4201 92.73 92.73 24.66
Fractional coordinates of all 4 atoms:
Si  0.0000  0.0000  0.0000
P  0.7548  0.7548  0.5879
Ir  0.3437  0.3437  0.0898
Ir  0.5734  0.5734  0.5131

---

Record 5
DFT (PBE-GGA) results for an optimized crystal structure of YIn2Ni.

Summary:
Formation enthalpy at 0 K in meV/atom: -428.4
Total moment in μB per atom: 0.00

Lattice parameters (Å, degrees): 16.1758 7.3996 5.6521 90.00 90.00 90.00
Fractional coordinates of all 32 atoms:
Y  0.1080  0.2500  0.2452
Y  0.1424  0.7500  0.4651
Y  0.3576  0.2500  0.9651
Y  0.3920  0.7500  0.7452
Y  0.6080  0.2500  0.2548
Y  0.6424  0.7500  0.0349
Y  0.8576  0.2500  0.5349
Y  0.8920  0.7500  0.7548
In  0.0352  0.0486  0.7474
In  0.0352  0.4514  0.7474
In  0.2144  0.5501  0.9729
In  0.2144  0.9499  0.9729
In  0.2856  0.0501  0.4729
In  0.2856  0.4499  0.4729
In  0.4648  0.5486  0.2474
In  0.4648  0.9514  0.2474
In  0.5352  0.0486  0.7526
In  0.5352  0.4514  0.7526
In  0.7144  0.5501  0.5271
In  0.7144  0.9499  0.5271
In  0.7856  0.0501  0.0271
In  0.7856  0.4499  0.0271
In  0.9648  0.5486  0.2526
In  0.9648  0.9514  0.2526
Ni  0.0726  0.7500  0.9890
Ni  0.1748  0.2500  0.7330
Ni  0.3252  0.7500  0.2330
Ni  0.4274  0.2500  0.4890
Ni  0.5726  0.7500  0.5110
Ni  0.6748  0.2500  0.7670
Ni  0.8252  0.7500  0.2670
Ni  0.9274  0.2500  0.0110

---

Record 6
DFT (PBE-GGA) results for an optimized crystal structure of Sr3Sm.

Summary:
Formation enthalpy at 0 K in meV/atom: 255.9
Total moment in μB per atom: 0.16

Lattice parameters (Å, degrees): 3.7869 3.9317 12.9169 90.00 90.00 90.00
Fractional coordinates of all 4 atoms:
Sr  0.0000  0.0000  0.0000
Sr  0.0000  0.5000  0.2790
Sr  0.5000  0.5000  0.7461
Sm  0.5000  0.0000  0.4966

---

Record 7
DFT (PBE-GGA) results for an optimized crystal structure of La2SmBr6.

Summary:
ΔE_f (raw) in eV per atom: -1.65
Total moment in μB per atom: 0.11

Lattice parameters (Å, degrees): 7.5938 7.5938 11.4229 90.00 90.00 90.00
Fractional coordinates of all 18 atoms:
La  0.0000  0.0000  0.1698
La  0.0000  0.0000  0.8302
La  0.5000  0.5000  0.3302
La  0.5000  0.5000  0.6698
Sm  0.0000  0.0000  0.5000
Sm  0.5000  0.5000  0.0000
Br  0.2168  0.2168  0.3383
Br  0.2168  0.2168  0.6617
Br  0.2230  0.2230  0.0000
Br  0.2770  0.7230  0.5000
Br  0.2832  0.7168  0.1617
Br  0.2832  0.7168  0.8383
Br  0.7168  0.2832  0.1617
Br  0.7168  0.2832  0.8383
Br  0.7230  0.2770  0.5000
Br  0.7770  0.7770  0.0000
Br  0.7832  0.7832  0.3383
Br  0.7832  0.7832  0.6617

---

Record 8
DFT (PBE-GGA) results for an optimized crystal structure of Ba3Mn5N12.

Summary:
ΔE_f (raw) in eV per atom: -0.03
Total moment in μB per atom: 0.25

Lattice parameters (Å, degrees): 11.1782 11.1782 11.1782 109.47 109.47 109.47
Fractional coordinates of all 80 atoms:
Ba  0.1250  0.2500  0.3750
Ba  0.1250  0.3750  0.7500
Ba  0.2500  0.3750  0.1250
Ba  0.2500  0.8750  0.6250
Ba  0.3750  0.1250  0.2500
Ba  0.3750  0.7500  0.1250
Ba  0.6250  0.2500  0.8750
Ba  0.6250  0.8750  0.7500
Ba  0.7500  0.1250  0.3750
Ba  0.7500  0.6250  0.8750
Ba  0.8750  0.6250  0.2500
Ba  0.8750  0.7500  0.6250
Mn  0.0000  0.0000  0.0000
Mn  0.0000  0.0000  0.5000
Mn  0.0000  0.5000  0.0000
Mn  0.0000  0.5000  0.5000
Mn  0.1250  0.7500  0.8750
Mn  0.1250  0.8750  0.2500
Mn  0.2500  0.1250  0.8750
Mn  0.2500  0.6250  0.3750
Mn  0.3750  0.2500  0.6250
Mn  0.3750  0.6250  0.7500
Mn  0.5000  0.0000  0.0000
Mn  0.5000  0.0000  0.5000
Mn  0.5000  0.5000  0.0000
Mn  0.5000  0.5000  0.5000
Mn  0.6250  0.3750  0.2500
Mn  0.6250  0.7500  0.3750
Mn  0.7500  0.3750  0.6250
Mn  0.7500  0.8750  0.1250
Mn  0.8750  0.1250  0.7500
Mn  0.8750  0.2500  0.1250
N  0.0170  0.6923  0.1177
N  0.0170  0.8248  0.8994
N  0.0746  0.6752  0.6923
N  0.0746  0.8994  0.3823
N  0.1006  0.6177  0.9254
N  0.1006  0.9830  0.1752
N  0.1177  0.0170  0.6923
N  0.1177  0.6006  0.4254
N  0.1752  0.1006  0.9830
N  0.1752  0.5746  0.1923
N  0.1923  0.1752  0.5746
N  0.1923  0.5170  0.6177
N  0.3077  0.8823  0.9830
N  0.3077  0.9254  0.3248
N  0.3248  0.3077  0.9254
N  0.3248  0.5170  0.3994
N  0.3823  0.0746  0.8994
N  0.3823  0.8077  0.4830
N  0.3994  0.3248  0.5170
N  0.3994  0.5746  0.8823
N  0.4254  0.1177  0.6006
N  0.4254  0.8077  0.8248
N  0.4830  0.3823  0.8077
N  0.4830  0.6006  0.6752
N  0.5170  0.3994  0.3248
N  0.5170  0.6177  0.1923
N  0.5746  0.1923  0.1752
N  0.5746  0.8823  0.3994
N  0.6006  0.4254  0.1177
N  0.6006  0.6752  0.4830
N  0.6177  0.1923  0.5170
N  0.6177  0.9254  0.1006
N  0.6752  0.4830  0.6006
N  0.6752  0.6923  0.0746
N  0.6923  0.0746  0.6752
N  0.6923  0.1177  0.0170
N  0.8077  0.4830  0.3823
N  0.8077  0.8248  0.4254
N  0.8248  0.4254  0.8077
N  0.8248  0.8994  0.0170
N  0.8823  0.3994  0.5746
N  0.8823  0.9830  0.3077
N  0.8994  0.0170  0.8248
N  0.8994  0.3823  0.0746
N  0.9254  0.1006  0.6177
N  0.9254  0.3248  0.3077
N  0.9830  0.1752  0.1006
N  0.9830  0.3077  0.8823

---

Record 9
DFT (PBE-GGA) results for an optimized crystal structure of Rb2ScSiO4.

Summary:
ΔE_f (raw) in eV per atom: -2.24
Total moment in μB per atom: 0.00

Lattice parameters (Å, degrees): 13.0954 11.7609 6.8883 84.94 63.46 31.60
Fractional coordinates of all 16 atoms:
Rb  0.0520  0.0520  0.6980
Rb  0.3020  0.3020  0.9480
Rb  0.6980  0.6980  0.0520
Rb  0.9480  0.9480  0.3020
Sc  0.1250  0.1250  0.1250
Sc  0.8750  0.8750  0.8750
Si  0.3750  0.3750  0.3750
Si  0.6250  0.6250  0.6250
O  0.0608  0.6147  0.5390
O  0.2855  0.5390  0.6147
O  0.3853  0.9392  0.7145
O  0.4610  0.7145  0.9392
O  0.5390  0.2855  0.0608
O  0.6147  0.0608  0.2855
O  0.7145  0.4610  0.3853
O  0.9392  0.3853  0.4610

---

Record 10
DFT (PBE-GGA) results for an optimized crystal structure of NdPdAu2.

Summary:
Formation enthalpy at 0 K in meV/atom: -694.1
Total moment in μB per atom: 0.00

Lattice parameters (Å, degrees): 15.8383 7.8438 5.4678 90.00 90.00 90.00
Fractional coordinates of all 32 atoms:
Nd  0.1047  0.2500  0.2283
Nd  0.1424  0.7500  0.4605
Nd  0.3576  0.2500  0.9605
Nd  0.3953  0.7500  0.7283
Nd  0.6047  0.2500  0.2717
Nd  0.6424  0.7500  0.0395
Nd  0.8576  0.2500  0.5395
Nd  0.8953  0.7500  0.7717
Pd  0.0708  0.7500  0.9652
Pd  0.1791  0.2500  0.7238
Pd  0.3209  0.7500  0.2238
Pd  0.4292  0.2500  0.4652
Pd  0.5708  0.7500  0.5348
Pd  0.6791  0.2500  0.7762
Pd  0.8209  0.7500  0.2762
Pd  0.9292  0.2500  0.0348
Au  0.0316  0.0557  0.7271
Au  0.0316  0.4443  0.7271
Au  0.2177  0.5540  0.9395
Au  0.2177  0.9460  0.9395
Au  0.2823  0.0540  0.4395
Au  0.2823  0.4460  0.4395
Au  0.4684  0.5557  0.2271
Au  0.4684  0.9443  0.2271
Au  0.5316  0.0557  0.7729
Au  0.5316  0.4443  0.7729
Au  0.7177  0.5540  0.5605
Au  0.7177  0.9460  0.5605
Au  0.7823  0.0540  0.0605
Au  0.7823  0.4460  0.0605
Au  0.9684  0.5557  0.2729
Au  0.9684  0.9443  0.2729

---

Record 11
DFT (PBE-GGA) results for an optimized crystal structure of Ca8PdAu2.

Summary:
Formation enthalpy at 0 K in meV/atom: -443.1
Total moment in μB per atom: 0.00

Lattice parameters (Å, degrees): 9.7519 9.7519 7.3008 105.31 105.31 30.06
Fractional coordinates of all 11 atoms:
Ca  0.0325  0.0325  0.2995
Ca  0.2091  0.2091  0.8204
Ca  0.3349  0.3349  0.5314
Ca  0.4073  0.4073  0.0553
Ca  0.5927  0.5927  0.9447
Ca  0.6651  0.6651  0.4686
Ca  0.7909  0.7909  0.1796
Ca  0.9675  0.9675  0.7005
Pd  0.5000  0.5000  0.5000
Au  0.1853  0.1853  0.2123
Au  0.8147  0.8147  0.7877

---

Record 12
DFT (PBE-GGA) results for an optimized crystal structure of USi4Pd8.

Summary:
ΔE_f (raw) in eV per atom: -0.53
Total moment in μB per atom: 0.16

Lattice parameters (Å, degrees): 6.7033 6.7033 6.7033 99.09 99.09 133.17
Fractional coordinates of all 13 atoms:
U  0.0000  0.0000  0.0000
Si  0.0000  0.0000  0.5000
Si  0.0000  0.5000  0.0000
Si  0.5000  0.0000  0.0000
Si  0.5000  0.5000  0.5000
Pd  0.0000  0.3249  0.3249
Pd  0.0000  0.6751  0.6751
Pd  0.2754  0.5000  0.7754
Pd  0.3249  0.0000  0.3249
Pd  0.5000  0.2754  0.7754
Pd  0.5000  0.7246  0.2246
Pd  0.6751  0.0000  0.6751
Pd  0.7246  0.5000  0.2246

---

Record 13
DFT (PBE-GGA) results for an optimized crystal structure of LaPaNb.

Summary:
Formation enthalpy at 0 K in meV/atom: 318.9
Total moment in μB per atom: 0.00

Lattice parameters (Å, degrees): 8.1462 8.1462 6.4212 109.94 109.94 23.34
Fractional coordinates of all 6 atoms:
La  0.0524  0.0524  0.2940
La  0.9476  0.9476  0.7060
Pa  0.3531  0.3531  0.1191
Pa  0.6469  0.6469  0.8809
Nb  0.2610  0.2610  0.6828
Nb  0.7390  0.7390  0.3172

---

Record 14
DFT (PBE-GGA) results for an optimized crystal structure of Tc2HgPb.

Summary:
Formation enthalpy at 0 K in meV/atom: 704.4
Total moment in μB per atom: 0.00

Lattice parameters (Å, degrees): 5.3234 5.3234 5.5987 111.30 111.30 35.73
Fractional coordinates of all 4 atoms:
Tc  0.2453  0.2453  0.3406
Tc  0.7547  0.7547  0.6594
Hg  0.0000  0.0000  0.5000
Pb  0.5000  0.5000  0.0000

---

Record 15
DFT (PBE-GGA) results for an optimized crystal structure of NaHIrPd2.

Summary:
Calculated total energy in eV for the cell shown: -23.26
Total moment in μB per atom: 0.00

Lattice parameters (Å, degrees): 4.2526 4.2526 3.6832 90.00 90.00 90.00
Fractional coordinates of all 5 atoms:
Na  0.0000  0.0000  0.0000
H  0.5000  0.5000  0.5000
Ir  0.5000  0.5000  0.0000
Pd  0.0000  0.5000  0.5000
Pd  0.5000  0.0000  0.5000

---

Record 16
DFT (PBE-GGA) results for an optimized crystal structure of Er2Tm5ThSc.

Summary:
Formation enthalpy at 0 K in meV/atom: 175.8
Total moment in μB per atom: 0.00

Lattice parameters (Å, degrees): 11.0976 11.0976 9.3359 90.00 90.00 150.97
Fractional coordinates of all 18 atoms:
Er  0.1150  0.8850  0.5000
Er  0.1341  0.8659  0.8893
Er  0.8659  0.1341  0.3893
Er  0.8850  0.1150  0.0000
Tm  0.0124  0.9876  0.1951
Tm  0.2682  0.7318  0.5083
Tm  0.3042  0.6958  0.8999
Tm  0.3944  0.6056  0.2237
Tm  0.4712  0.5288  0.9275
Tm  0.5288  0.4712  0.4275
Tm  0.6056  0.3944  0.7237
Tm  0.6958  0.3042  0.3999
Tm  0.7318  0.2682  0.0083
Tm  0.9876  0.0124  0.6951
Th  0.4011  0.5989  0.6073
Th  0.5989  0.4011  0.1073
Sc  0.1917  0.8083  0.1953
Sc  0.8083  0.1917  0.6953

---

Record 17
DFT (PBE-GGA) results for an optimized crystal structure of Dy2Y3Tm6Zr.

Summary:
Formation enthalpy at 0 K in meV/atom: 47.0
Total moment in μB per atom: 0.00

Lattice parameters (Å, degrees): 6.0395 6.0395 11.5584 94.98 94.98 119.93
Fractional coordinates of all 12 atoms:
Dy  0.1668  0.8332  0.0000
Dy  0.8332  0.1668  0.0000
Y  0.0000  0.0000  0.5000
Y  0.3334  0.6666  0.5000
Y  0.6666  0.3334  0.5000
Tm  0.0925  0.4192  0.7564
Tm  0.2542  0.2542  0.2433
Tm  0.4192  0.0925  0.7564
Tm  0.5808  0.9075  0.2436
Tm  0.7458  0.7458  0.7567
Tm  0.9075  0.5808  0.2436
Zr  0.5000  0.5000  0.0000

---

Record 18
DFT (PBE-GGA) results for an optimized crystal structure of BaLaTcBi2.

Summary:
Formation enthalpy at 0 K in meV/atom: 231.7
Total moment in μB per atom: 0.15

Lattice parameters (Å, degrees): 5.5660 5.5660 5.3677 90.00 90.00 90.00
Fractional coordinates of all 5 atoms:
Ba  0.0000  0.0000  0.0000
La  0.5000  0.5000  0.0000
Tc  0.0000  0.0000  0.5000
Bi  0.0000  0.5000  0.5000
Bi  0.5000  0.0000  0.5000